The following is a PBE with a Hubbard U calculation of a relaxed Li4Mn3CoO8 crystal, from Alexandria via LeMat-Bulk.

**Electronic total energy**: -6.36 eV/atom
**ΔE to the lowest computed polymorph**: 0.005 eV/atom
**Mass density**: 4.2 g cm⁻³

Cell: 3.077 6.493 7.836 Å, 89.58 85.22 76.67°
Atoms (fractional coordinates):
Li (0.246, 0.132, 0.375)
Li (0.250, 0.626, 0.876)
Li (0.750, 0.374, 0.124)
Li (0.754, 0.868, 0.625)
Mn (0.003, 0.251, 0.747)
Mn (0.500, 0.000, 0.000)
Mn (0.997, 0.749, 0.253)
Co (0.500, 0.500, 0.500)
O (0.138, 0.453, 0.321)
O (0.144, 0.953, 0.814)
O (0.356, 0.299, 0.934)
O (0.358, 0.793, 0.437)
O (0.642, 0.207, 0.563)
O (0.644, 0.701, 0.066)
O (0.856, 0.047, 0.186)
O (0.862, 0.547, 0.679)